Record 1
# PBE CsLa2ZrPb, relaxed
data_CsLa2ZrPb
_symmetry_space_group_name_H-M 'P 4/m m m'
_symmetry_Int_Tables_number 123
_symmetry_space_group_name_Hall '-P 4 2'
_cell_length_a 5.800
_cell_length_b 5.800
_cell_length_c 6.026
_cell_angle_alpha 90.00
_cell_angle_beta 90.00
_cell_angle_gamma 90.00
loop_
_atom_site_label
_atom_site_type_symbol
_atom_site_fract_x
_atom_site_fract_y
_atom_site_fract_z
Cs1 Cs 0.000 0.000 0.000
La1 La 0.000 0.500 0.000
Zr1 Zr 0.500 0.500 0.500
Pb1 Pb 0.000 0.000 0.500
# * E_form: 1.42 eV per atom
# * calculated total energy: -0.117 Ha/atom
# * total moment: 1.98 Bohr magnetons per cell


Record 2
# PBE CsLaPd3, relaxed
data_CsLaPd3
_symmetry_space_group_name_H-M 'P m -3 m'
_symmetry_Int_Tables_number 221
_symmetry_space_group_name_Hall '-P 4 2 3'
_cell_length_a 5.289
_cell_length_b 5.289
_cell_length_c 5.289
_cell_angle_alpha 90.00
_cell_angle_beta 90.00
_cell_angle_gamma 90.00
loop_
_atom_site_label
_atom_site_type_symbol
_atom_site_fract_x
_atom_site_fract_y
_atom_site_fract_z
Cs1 Cs 0.000 0.000 0.000
La1 La 0.500 0.500 0.500
Pd1 Pd 0.000 0.000 0.500
# * E_form: 0.87 eV per atom
# * calculated total energy: -0.125 Ha/atom
# * excess energy over the best structure of this formula in the dataset: 60.8 kJ per mole of atoms
# * total moment: 0.00 Bohr magnetons per cell


Record 3
# PBE CsLa2Pd, relaxed
data_CsLa2Pd
_symmetry_space_group_name_H-M 'F m -3 m'
_symmetry_Int_Tables_number 225
_symmetry_space_group_name_Hall '-F 4 2 3'
_cell_length_a 7.852
_cell_length_b 7.852
_cell_length_c 7.852
_cell_angle_alpha 90.00
_cell_angle_beta 90.00
_cell_angle_gamma 90.00
loop_
_atom_site_label
_atom_site_type_symbol
_atom_site_fract_x
_atom_site_fract_y
_atom_site_fract_z
Cs1 Cs 0.000 0.000 0.000
La1 La 0.250 0.250 0.250
Pd1 Pd 0.000 0.000 0.500
# * E_form: 0.20 eV per atom
# * calculated total energy: -0.139 Ha/atom
# * total moment: 0.00 Bohr magnetons per cell


Record 4
# PBE Cs2La4Pd, relaxed
data_Cs2La4Pd
_symmetry_space_group_name_H-M 'I 4/m m m'
_symmetry_Int_Tables_number 139
_symmetry_space_group_name_Hall '-I 4 2'
_cell_length_a 5.932
_cell_length_b 5.932
_cell_length_c 22.666
_cell_angle_alpha 90.00
_cell_angle_beta 90.00
_cell_angle_gamma 90.00
loop_
_atom_site_label
_atom_site_type_symbol
_atom_site_fract_x
_atom_site_fract_y
_atom_site_fract_z
Cs1 Cs 0.000 0.000 0.175
La1 La 0.000 0.000 0.381
La2 La 0.000 0.500 0.000
Pd1 Pd 0.000 0.000 0.500
# * E_form: 0.28 eV per atom
# * calculated total energy: -0.129 Ha/atom
# * total moment: 1.11 Bohr magnetons per cell


Record 5
# PBE CsLa2Pd2, relaxed
data_CsLa2Pd2
_symmetry_space_group_name_H-M 'I 4/m m m'
_symmetry_Int_Tables_number 139
_symmetry_space_group_name_Hall '-I 4 2'
_cell_length_a 5.260
_cell_length_b 5.260
_cell_length_c 11.807
_cell_angle_alpha 90.00
_cell_angle_beta 90.00
_cell_angle_gamma 90.00
loop_
_atom_site_label
_atom_site_type_symbol
_atom_site_fract_x
_atom_site_fract_y
_atom_site_fract_z
Cs1 Cs 0.000 0.000 0.000
La1 La 0.000 0.500 0.250
Pd1 Pd 0.000 0.000 0.377
# * E_form: -0.26 eV per atom
# * calculated total energy: -0.165 Ha/atom
# * total moment: 0.00 Bohr magnetons per cell


Record 6
# PBE CsLaPd3, relaxed
data_CsLaPd3
_symmetry_space_group_name_H-M 'P m -3 m'
_symmetry_Int_Tables_number 221
_symmetry_space_group_name_Hall '-P 4 2 3'
_cell_length_a 5.495
_cell_length_b 5.495
_cell_length_c 5.495
_cell_angle_alpha 90.00
_cell_angle_beta 90.00
_cell_angle_gamma 90.00
loop_
_atom_site_label
_atom_site_type_symbol
_atom_site_fract_x
_atom_site_fract_y
_atom_site_fract_z
Cs1 Cs 0.000 0.000 0.000
La1 La 0.500 0.500 0.500
Pd1 Pd 0.000 0.500 0.500
# * E_form: 0.24 eV per atom
# * calculated total energy: -0.148 Ha/atom
# * excess energy over the best structure of this formula in the dataset: 0.0 kJ per mole of atoms
# * total moment: 0.00 Bohr magnetons per cell


Record 7
# PBE CsLa2RePd, relaxed
data_CsLa2RePd
_symmetry_space_group_name_H-M 'P 4/m m m'
_symmetry_Int_Tables_number 123
_symmetry_space_group_name_Hall '-P 4 2'
_cell_length_a 5.593
_cell_length_b 5.593
_cell_length_c 5.921
_cell_angle_alpha 90.00
_cell_angle_beta 90.00
_cell_angle_gamma 90.00
loop_
_atom_site_label
_atom_site_type_symbol
_atom_site_fract_x
_atom_site_fract_y
_atom_site_fract_z
Cs1 Cs 0.000 0.000 0.000
La1 La 0.000 0.500 0.500
Re1 Re 0.500 0.500 0.000
Pd1 Pd 0.000 0.000 0.500
# * E_form: 1.17 eV per atom
# * calculated total energy: -0.165 Ha/atom
# * total moment: 2.70 Bohr magnetons per cell


Record 8
# PBE CsSr2LaPd, relaxed
data_CsSr2LaPd
_symmetry_space_group_name_H-M 'P 4/m m m'
_symmetry_Int_Tables_number 123
_symmetry_space_group_name_Hall '-P 4 2'
_cell_length_a 6.403
_cell_length_b 6.403
_cell_length_c 5.685
_cell_angle_alpha 90.00
_cell_angle_beta 90.00
_cell_angle_gamma 90.00
loop_
_atom_site_label
_atom_site_type_symbol
_atom_site_fract_x
_atom_site_fract_y
_atom_site_fract_z
Cs1 Cs 0.000 0.000 0.000
Sr1 Sr 0.000 0.500 0.500
La1 La 0.500 0.500 0.000
Pd1 Pd 0.500 0.500 0.500
# * E_form: -0.13 eV per atom
# * calculated total energy: -0.110 Ha/atom
# * total moment: 0.00 Bohr magnetons per cell


Record 9
# PBE CsLaY2Pd, relaxed
data_CsLaY2Pd
_symmetry_space_group_name_H-M 'P 4/m m m'
_symmetry_Int_Tables_number 123
_symmetry_space_group_name_Hall '-P 4 2'
_cell_length_a 5.687
_cell_length_b 5.687
_cell_length_c 6.207
_cell_angle_alpha 90.00
_cell_angle_beta 90.00
_cell_angle_gamma 90.00
loop_
_atom_site_label
_atom_site_type_symbol
_atom_site_fract_x
_atom_site_fract_y
_atom_site_fract_z
Cs1 Cs 0.000 0.000 0.000
La1 La 0.000 0.000 0.500
Y1 Y 0.000 0.500 0.500
Pd1 Pd 0.500 0.500 0.000
# * E_form: 1.16 eV per atom
# * calculated total energy: -0.133 Ha/atom
# * total moment: 0.00 Bohr magnetons per cell


Record 10
# PBE Cs3La2PmS6, relaxed
data_Cs3La2PmS6
_symmetry_space_group_name_H-M 'C 1 2/m 1'
_symmetry_Int_Tables_number 12
_cell_length_a 7.461
_cell_length_b 12.922
_cell_length_c 8.454
_cell_angle_alpha 90.00
_cell_angle_beta 107.11
_cell_angle_gamma 90.00
loop_
_symmetry_equiv_pos_as_xyz
'x,y,z'
'-x,-y,-z'
'-x,y,-z'
'x,-y,z'
'x+1/2,y+1/2,z'
'-x+1/2,-y+1/2,-z'
'-x+1/2,y+1/2,-z'
'x+1/2,-y+1/2,z'
loop_
_atom_site_label
_atom_site_type_symbol
_atom_site_fract_x
_atom_site_fract_y
_atom_site_fract_z
Cs1 Cs 0.000 0.000 0.000
Cs2 Cs 0.000 0.333 0.000
La1 La 0.000 0.167 0.500
Pm1 Pm 0.000 0.500 0.500
S1 S 0.226 0.336 0.686
S2 S 0.234 0.000 0.686
# * calculated total energy: -0.197 Ha/atom
# * ΔE_f (raw): -1.86 eV/atom
# * total moment: 0.00 Bohr magnetons per cell


Record 11
# PBE Cs2LaPmS4, relaxed
data_Cs2LaPmS4
_symmetry_space_group_name_H-M 'P 1 2/m 1'
_symmetry_Int_Tables_number 10
_cell_length_a 7.423
_cell_length_b 4.285
_cell_length_c 8.453
_cell_angle_alpha 90.00
_cell_angle_beta 106.99
_cell_angle_gamma 90.00
loop_
_symmetry_equiv_pos_as_xyz
'x,y,z'
'-x,-y,-z'
'-x,y,-z'
'x,-y,z'
loop_
_atom_site_label
_atom_site_type_symbol
_atom_site_fract_x
_atom_site_fract_y
_atom_site_fract_z
Cs1 Cs 0.000 0.000 0.000
Cs2 Cs 0.500 0.500 0.000
La1 La 0.000 0.500 0.500
Pm1 Pm 0.500 0.000 0.500
S1 S 0.234 0.000 0.686
S2 S 0.277 0.500 0.315
# * calculated total energy: -0.196 Ha/atom
# * ΔE_f (raw): -1.85 eV/atom
# * total moment: 0.00 Bohr magnetons per cell


Record 12
# PBE Cs2LaPmSe4, relaxed
data_Cs2LaPmSe4
_symmetry_space_group_name_H-M 'P 1 2/m 1'
_symmetry_Int_Tables_number 10
_cell_length_a 7.684
_cell_length_b 4.436
_cell_length_c 8.775
_cell_angle_alpha 90.00
_cell_angle_beta 106.95
_cell_angle_gamma 90.00
loop_
_symmetry_equiv_pos_as_xyz
'x,y,z'
'-x,-y,-z'
'-x,y,-z'
'x,-y,z'
loop_
_atom_site_label
_atom_site_type_symbol
_atom_site_fract_x
_atom_site_fract_y
_atom_site_fract_z
Cs1 Cs 0.000 0.000 0.000
Cs2 Cs 0.500 0.500 0.000
La1 La 0.000 0.500 0.500
Pm1 Pm 0.500 0.000 0.500
Se1 Se 0.235 0.000 0.691
Se2 Se 0.275 0.500 0.310
# * calculated total energy: -0.181 Ha/atom
# * ΔE_f (raw): -1.77 eV/atom
# * total moment: 0.00 Bohr magnetons per cell


Fermi-level density of states across the listed records, respectively: 8.94 5.98 19.40 24.71 13.23 5.87 5.93 5.32 4.63 0.00 0.00 0.00 states/eV/cell.